# Ba2ReN5 | the Alexandria database | PBE-GGA | relaxed
data_Ba2ReN5
_cell_length_a 6.1804
_cell_length_b 6.1804
_cell_length_c 6.1804
_cell_angle_alpha 119.35
_cell_angle_beta 119.35
_cell_angle_gamma 91.13
_space_group_name_H-M_alt 'P 1'
_space_group_IT_number 1
loop_
_space_group_symop_operation_xyz
'x,y,z'
loop_
_atom_site_label
_atom_site_type_symbol
_atom_site_fract_x
_atom_site_fract_y
_atom_site_fract_z
Ba1 Ba 0.0000 0.5000 0.5000
Ba2 Ba 0.5000 0.0000 0.5000
Re1 Re 0.2385 0.2385 0.0000
N1 N 0.0334 0.0334 0.0000
N2 N 0.1060 0.1060 0.5856
N3 N 0.1060 0.5203 0.0000
N4 N 0.5203 0.1060 0.0000
N5 N 0.5203 0.5203 0.4144
# ΔE_f (raw): 296 meV/atom
# Calculated total energy: -6.94 eV/atom